# 1
{"formula": "Ga2Ag3Au", "functional": "GGA-PBE", "state": "optimized geometry", "space_group": "C2/c", "magnetic_moment_mub_per_fu": 0.0, "energy_ev_per_atom": -2.967, "vol_a3_per_atom": 18.53, "mass_density_g_cm3": 9.9, "formation_energy_ev_per_fu": 0.08, "cell": [[4.306, -4.712, 0.000], [4.306, 4.712, 0.000], [-0.620, 0.000, 5.478]], "species": ["Ga", "Ga", "Ga", "Ga", "Ag", "Ag", "Ag", "Ag", "Ag", "Ag", "Au", "Au"], "fractional_positions": [[0.071, 0.575, 0.768], [0.425, 0.929, 0.732], [0.575, 0.071, 0.268], [0.929, 0.425, 0.232], [0.274, 0.726, 0.250], [0.315, 0.331, 0.505], [0.331, 0.315, 0.005], [0.669, 0.685, 0.995], [0.685, 0.669, 0.495], [0.726, 0.274, 0.750], [0.028, 0.972, 0.750], [0.972, 0.028, 0.250]]}


# 2
{"formula": "GaAg2Au8", "functional": "GGA-PBE", "state": "optimized geometry", "space_group": "C2/m", "magnetic_moment_mub_per_fu": 0.0, "energy_ev_per_atom": -3.223, "vol_a3_per_atom": 17.93, "mass_density_g_cm3": 15.7, "formation_energy_ev_per_fu": -0.50, "e_above_lowest_polymorph_ev_per_atom": 0.000, "cell": [[7.557, -2.052, 0.000], [7.557, 2.052, 0.000], [-1.891, 0.000, 6.358]], "species": ["Ga", "Ag", "Ag", "Au", "Au", "Au", "Au", "Au", "Au", "Au", "Au"], "fractional_positions": [[0.000, 0.000, 0.000], [0.275, 0.275, 0.369], [0.725, 0.725, 0.631], [0.090, 0.090, 0.439], [0.183, 0.183, 0.909], [0.366, 0.366, 0.826], [0.452, 0.452, 0.275], [0.548, 0.548, 0.725], [0.634, 0.634, 0.174], [0.817, 0.817, 0.091], [0.910, 0.910, 0.561]]}


# 3
{"formula": "GaAg2Au2", "functional": "GGA-PBE", "state": "optimized geometry", "space_group": "P4/mbm", "magnetic_moment_mub_per_fu": 0.0, "energy_ev_per_atom": -3.079, "vol_a3_per_atom": 19.20, "mass_density_g_cm3": 11.8, "formation_energy_ev_per_fu": -0.11, "e_above_lowest_polymorph_ev_per_atom": 0.060, "cell": [[6.846, 0.000, 0.000], [0.000, 6.846, 0.000], [0.000, 0.000, 4.096]], "species": ["Ga", "Ga", "Ag", "Ag", "Ag", "Ag", "Au", "Au", "Au", "Au"], "fractional_positions": [[0.000, 0.000, 0.000], [0.500, 0.500, 0.000], [0.154, 0.346, 0.500], [0.346, 0.846, 0.500], [0.654, 0.154, 0.500], [0.846, 0.654, 0.500], [0.148, 0.648, 0.000], [0.352, 0.148, 0.000], [0.648, 0.852, 0.000], [0.852, 0.352, 0.000]]}


Please write out number 3 again, unchanged.
{"formula": "GaAg2Au2", "functional": "GGA-PBE", "state": "optimized geometry", "space_group": "P4/mbm", "magnetic_moment_mub_per_fu": 0.0, "energy_ev_per_atom": -3.079, "vol_a3_per_atom": 19.20, "mass_density_g_cm3": 11.8, "formation_energy_ev_per_fu": -0.11, "e_above_lowest_polymorph_ev_per_atom": 0.060, "cell": [[6.846, 0.000, 0.000], [0.000, 6.846, 0.000], [0.000, 0.000, 4.096]], "species": ["Ga", "Ga", "Ag", "Ag", "Ag", "Ag", "Au", "Au", "Au", "Au"], "fractional_positions": [[0.000, 0.000, 0.000], [0.500, 0.500, 0.000], [0.154, 0.346, 0.500], [0.346, 0.846, 0.500], [0.654, 0.154, 0.500], [0.846, 0.654, 0.500], [0.148, 0.648, 0.000], [0.352, 0.148, 0.000], [0.648, 0.852, 0.000], [0.852, 0.352, 0.000]]}